KNiO2 after structural relaxation. Source: Alexandria via LeMat-Bulk, functional PBE+U.

a b c (Å): 5.7035 5.7035 5.5243
angles (deg): 58.92 58.92 90.00
Site moments in Bohr magnetons follow the coordinates.
Element x y z (fractional)
O 0.7419 0.1250 0.2500  0.38
O 0.3750 0.2581 0.7500  0.39
O 0.8750 0.9919 0.7500  0.38
O 0.0081 0.6250 0.2500  0.36
Ni 0.0000 0.0000 0.0000  2.07
Ni 0.7500 0.2500 0.5000  2.07
K 0.2500 0.7500 0.5000  0.00
K 0.5000 0.5000 0.0000  0.00

- Symmetry: No. 122
- Total DFT energy (no corrections): -4.36 eV/atom